(1)
The following is a DFT calculation (GGA-PBE) of a geometry-optimized BaCa2MgAg structure.

Cell and atoms, written as POSCAR:
```
BaCa2MgAg
1.0
-4.9400 0.1749 -3.1196
2.8112 -2.2982 -4.5805
-1.2781 -5.0346 1.7416
Mg Ca Ba Ag
1 2 1 1
direct
0.0000 0.0000 0.5000
0.0000 0.5000 0.0000
0.5000 0.0000 0.0000
0.5000 0.5000 0.5000
0.0000 0.0000 0.0000
```

Properties
The volume comes out at 37.44 Å³/atom. As for the energy above the most stable polymorph in this dataset: 0.0000 eV per atom.

(2)
The following is a DFT calculation (GGA-PBE) of a geometry-optimized CdIn2SiAs4 structure.

Cell and atoms, written as POSCAR:
```
CdIn2SiAs4
1.0
6.0741 0.2520 0.0000
-0.2527 6.0739 0.0000
-2.9107 -3.1629 5.8644
Cd In Si As
1 2 1 4
direct
0.0001 0.0001 0.0001
0.7501 0.2501 0.5002
0.2501 0.7501 0.5002
0.5001 0.5001 0.0001
0.6132 0.6132 0.7679
0.3868 0.8453 0.2321
0.8453 0.3868 0.2321
0.1547 0.1547 0.7679
```

Properties
The volume comes out at 27.09 Å³/atom. The uncorrected formation energy comes out at -0.179 eV/atom.

(3)
The following is a DFT calculation (GGA-PBE) of a geometry-optimized Er6TlAg2 structure.

Cell and atoms, written as POSCAR:
```
Er6TlAg2
1.0
8.6202 0.1405 -0.0611
-3.1361 8.0307 0.0611
-2.9837 -3.9235 7.0736
Er Tl Ag
12 2 4
direct
0.5414 0.7241 0.8172
0.4586 0.2759 0.1828
0.0931 0.2759 0.8172
0.9069 0.7241 0.1828
0.7972 0.7578 0.5550
0.2028 0.2422 0.4450
0.2028 0.7578 0.9607
0.7972 0.2422 0.0393
0.7158 0.3932 0.6774
0.2842 0.6068 0.3226
0.2842 0.9617 0.6774
0.7158 0.0383 0.3226
0.0000 0.5000 0.5000
0.0000 0.0000 0.0000
0.5000 0.3671 0.8671
0.5000 0.6329 0.1329
0.6462 0.0000 0.6462
0.3538 0.0000 0.3538
```

Properties
The calculation puts the energy at -74.3 eV for the cell shown. The volume comes out at 27.37 Å³/atom.

(4)
The following is a DFT calculation (GGA-PBE) of a geometry-optimized CrCdIn2 structure.

Cell and atoms, written as POSCAR:
```
CrCdIn2
1.0
-3.5603 -6.2537 3.7523
6.6974 -1.1508 4.4368
0.5142 -1.8604 6.1639
Cr Cd In
2 2 4
direct
0.5000 0.5000 0.0000
0.2500 0.7500 0.5000
0.0000 0.0000 0.0000
0.7500 0.2500 0.5000
0.6079 0.1250 0.2500
0.1421 0.6250 0.2500
0.3750 0.3921 0.7500
0.8750 0.8579 0.7500
```

Properties
The calculation puts the energy at -28.4 eV for the cell shown. The volume comes out at 24.40 Å³/atom.

(5)
The following is a DFT calculation (GGA-PBE) of a geometry-optimized LiTbPdAu structure.

Cell and atoms, written as POSCAR:
```
LiTbPdAu
1.0
4.8056 0.0000 0.0000
2.4028 4.1618 0.0000
2.4028 1.3873 3.9237
Tb Au Pd Li
1 1 1 1
direct
0.7500 0.7500 0.7500
0.0000 0.0000 0.0000
0.5000 0.5000 0.5000
0.2500 0.2500 0.2500
```

Properties
The calculation puts the energy at -17.7 eV for the cell shown. The volume comes out at 19.62 Å³/atom.

| no. | magnetic moment (μB per cell) |
| --- | --- |
| 1 | 0.0 |
| 2 | 0.0 |
| 3 | 0.0 |
| 4 | 8.1 |
| 5 | 0.0 |